## K3CrO3 (PBE with a Hubbard U)

Data for a relaxed K3CrO3 crystal.

Results
Fermi-level density of states = 0.000 states/eV/atom
E above lowest polymorph = 54.8 meV/atom

Unit cell a=9.224 b=11.046 c=5.609 alpha=90.00 beta=90.00 gamma=90.00
Space group Cmcm (No. 63)
One atom of each set of equivalent atoms:
K 0.000 0.106 0.250 (multiplicity 4)
K 0.208 0.385 0.250 (multiplicity 8)
Cr 0.000 0.300 0.750 (multiplicity 4)
O 0.000 0.137 0.750 (multiplicity 4)
O 0.171 0.365 0.750 (multiplicity 8)